GGA-PBE RbYBr4, optimized geometry; energy above the lowest structure with this stoichiometry = 0.00 kcal/mol of atoms; D(E_F) = 0.000 states/eV/cell; space group = C2/c; ΔE_f (raw) = -11.17 eV/f.u.; calculated volume = 44.3 Å³ per atom; VASP energy = -4.22 eV/atom
1.0
4.257 -9.465 0.000
4.257 9.465 0.000
-2.655 0.000 6.595
Rb Y Br
2 2 8
direct
0.181 0.819 0.750 Rb
0.819 0.181 0.250 Rb
0.434 0.566 0.750 Y
0.566 0.434 0.250 Y
0.107 0.440 0.767 Br
0.257 0.348 0.333 Br
0.348 0.257 0.833 Br
0.440 0.107 0.267 Br
0.560 0.893 0.733 Br
0.652 0.743 0.167 Br
0.743 0.652 0.667 Br
0.893 0.560 0.233 Br



GGA-PBE MgCu2Rh2, optimized geometry; energy above the lowest structure with this stoichiometry = 2.70 kcal/mol of atoms; D(E_F) = 8.962 states/eV/cell; space group = I4/mmm; energy of formation from the pure elements = 0.1066 eV per atom; calculated volume = 15.2 Å³ per atom; VASP energy = -4.79 eV/atom
1.0
-1.717 1.717 6.427
1.717 -1.717 6.427
1.717 1.717 -6.427
Mg Cu Rh
1 2 2
direct
0.000 0.000 0.000 Mg
0.250 0.750 0.500 Cu
0.750 0.250 0.500 Cu
0.398 0.398 0.000 Rh
0.602 0.602 0.000 Rh



GGA-PBE Eu3TaO7, optimized geometry; D(E_F) = 24.459 states/eV/cell; space group = Cmcm; ΔE_f (raw) = -31.54 eV/f.u.; calculated volume = 14.3 Å³ per atom; VASP energy = -9.90 eV/atom
1.0
3.768 -5.411 0.000
3.768 5.411 0.000
0.000 0.000 7.714
Eu Ta O
6 2 14
direct
0.000 0.000 0.000 Eu
0.000 0.000 0.500 Eu
0.030 0.497 0.750 Eu
0.497 0.030 0.250 Eu
0.503 0.970 0.750 Eu
0.970 0.503 0.250 Eu
0.500 0.500 0.000 Ta
0.500 0.500 0.500 Ta
0.128 0.872 0.250 O
0.137 0.863 0.750 O
0.182 0.429 0.029 O
0.182 0.429 0.471 O
0.429 0.182 0.529 O
0.429 0.182 0.971 O
0.445 0.555 0.750 O
0.555 0.445 0.250 O
0.571 0.818 0.029 O
0.571 0.818 0.471 O
0.818 0.571 0.529 O
0.818 0.571 0.971 O
0.863 0.137 0.250 O
0.872 0.128 0.750 O



GGA-PBE Nd2HoAu, optimized geometry; energy above the lowest structure with this stoichiometry = 3.94 kcal/mol of atoms; D(E_F) = 5.265 states/eV/cell; space group = R3m; energy of formation from the pure elements = -0.2305 eV per atom; calculated volume = 31.1 Å³ per atom; VASP energy = -4.58 eV/atom
1.0
1.882 1.087 10.153
-1.882 1.087 10.153
0.000 -2.173 10.153
Nd Ho Au
2 1 1
direct
0.000 0.000 0.000 Nd
0.188 0.188 0.188 Nd
0.427 0.427 0.427 Ho
0.595 0.595 0.595 Au



GGA-PBE Ba3CuRu2O9, optimized geometry; energy above the lowest structure with this stoichiometry = 0.00 kcal/mol of atoms; D(E_F) = 4.740 states/eV/cell; space group = Cmcm; ΔE_f (raw) = -25.44 eV/f.u.; calculated volume = 14.4 Å³ per atom; VASP energy = -6.57 eV/atom
1.0
2.869 -5.210 0.000
2.869 5.210 0.000
0.000 0.000 14.451
Ba Cu Ru O
6 2 4 18
direct
0.028 0.972 0.750 Ba
0.314 0.686 0.097 Ba
0.314 0.686 0.403 Ba
0.686 0.314 0.597 Ba
0.686 0.314 0.903 Ba
0.972 0.028 0.250 Ba
0.000 0.000 0.000 Cu
0.000 0.000 0.500 Cu
0.363 0.637 0.652 Ru
0.363 0.637 0.848 Ru
0.637 0.363 0.152 Ru
0.637 0.363 0.348 Ru
0.062 0.486 0.750 O
0.190 0.298 0.591 O
0.190 0.298 0.909 O
0.211 0.789 0.580 O
0.211 0.789 0.920 O
0.298 0.190 0.091 O
0.298 0.190 0.409 O
0.486 0.062 0.250 O
0.488 0.512 0.250 O
0.512 0.488 0.750 O
0.514 0.938 0.750 O
0.702 0.810 0.591 O
0.702 0.810 0.909 O
0.789 0.211 0.080 O
0.789 0.211 0.420 O
0.810 0.702 0.091 O
0.810 0.702 0.409 O
0.938 0.514 0.250 O



GGA-PBE MoAu2Br, optimized geometry; energy above the lowest structure with this stoichiometry = 0.90 kcal/mol of atoms; D(E_F) = 1.653 states/eV/cell; space group = Pm; ΔE_f (raw) = 1.04 eV/f.u.; calculated volume = 20.7 Å³ per atom; VASP energy = -4.50 eV/atom
1.0
2.956 0.000 0.000
0.000 3.051 0.000
-1.303 0.000 9.201
Mo Au Br
1 2 1
direct
0.000 0.000 0.000 Mo
0.189 0.000 0.426 Au
0.592 0.500 0.208 Au
0.905 0.500 0.785 Br



GGA-PBE Re2HgGe, optimized geometry; energy above the lowest structure with this stoichiometry = 3.55 kcal/mol of atoms; D(E_F) = 7.916 states/eV/cell; space group = I-42d; energy of formation from the pure elements = 1.0585 eV per atom; calculated volume = 18.0 Å³ per atom; VASP energy = -6.40 eV/atom
1.0
-3.710 3.710 2.609
3.710 -3.710 2.609
3.710 3.710 -2.609
Re Hg Ge
4 2 2
direct
0.073 0.625 0.948 Re
0.375 0.323 0.448 Re
0.677 0.125 0.052 Re
0.875 0.927 0.552 Re
0.250 0.750 0.500 Hg
0.500 0.500 0.000 Hg
0.000 0.000 0.000 Ge
0.750 0.250 0.500 Ge



GGA-PBE MnTcPPdCl, optimized geometry; energy above the lowest structure with this stoichiometry = 1.14 kcal/mol of atoms; D(E_F) = 3.524 states/eV/cell; space group = R3m; ΔE_f (raw) = -0.86 eV/f.u.; calculated volume = 17.5 Å³ per atom; VASP energy = -6.57 eV/atom
1.0
1.915 1.106 6.888
-1.915 1.106 6.888
0.000 -2.211 6.888
Mn Tc P Pd Cl
1 1 1 1 1
direct
0.000 0.000 0.000 Mn
0.589 0.589 0.589 Tc
0.290 0.290 0.290 P
0.731 0.731 0.731 Pd
0.474 0.474 0.474 Cl



GGA-PBE Y3BCl3, optimized geometry; D(E_F) = 9.183 states/eV/cell; space group = I4_132; ΔE_f (raw) = -10.65 eV/f.u.; calculated volume = 23.4 Å³ per atom; VASP energy = -6.04 eV/atom
1.0
-5.469 5.469 5.469
5.469 -5.469 5.469
5.469 5.469 -5.469
Y B Cl
12 4 12
direct
0.016 0.031 0.266 Y
0.016 0.484 0.750 Y
0.031 0.266 0.016 Y
0.234 0.266 0.750 Y
0.234 0.469 0.484 Y
0.266 0.016 0.031 Y
0.266 0.750 0.234 Y
0.469 0.484 0.234 Y
0.484 0.234 0.469 Y
0.484 0.750 0.016 Y
0.750 0.016 0.484 Y
0.750 0.234 0.266 Y
0.000 0.250 0.500 B
0.250 0.250 0.250 B
0.250 0.500 0.000 B
0.500 0.000 0.250 B
0.250 0.755 0.745 Cl
0.250 0.995 0.505 Cl
0.505 0.250 0.995 Cl
0.505 0.755 0.511 Cl
0.511 0.505 0.755 Cl
0.745 0.250 0.755 Cl
0.745 0.995 0.989 Cl
0.755 0.511 0.505 Cl
0.755 0.745 0.250 Cl
0.989 0.745 0.995 Cl
0.995 0.505 0.250 Cl
0.995 0.989 0.745 Cl



GGA-PBE TlIrBr4, optimized geometry; D(E_F) = 8.093 states/eV/cell; space group = F-43m; ΔE_f (raw) = 6.42 eV/f.u.; calculated volume = 29.9 Å³ per atom; VASP energy = -1.92 eV/atom
1.0
0.000 4.477 4.477
4.477 0.000 4.477
4.477 4.477 0.000
Tl Ir Br
1 1 4
direct
0.000 0.000 0.000 Tl
0.250 0.250 0.250 Ir
0.131 0.623 0.623 Br
0.623 0.131 0.623 Br
0.623 0.623 0.131 Br
0.623 0.623 0.623 Br



GGA-PBE PrPuP2, optimized geometry; energy above the lowest structure with this stoichiometry = 5.35 kcal/mol of atoms; D(E_F) = 10.468 states/eV/cell; space group = P-3m1; energy of formation from the pure elements = -1.0947 eV per atom; calculated volume = 25.2 Å³ per atom; VASP energy = -8.58 eV/atom
1.0
4.059 0.000 0.000
-2.030 3.516 0.000
0.000 0.000 7.059
Pr Pu P
1 1 2
direct
0.000 0.000 0.000 Pr
0.000 0.000 0.500 Pu
0.333 0.667 0.734 P
0.667 0.333 0.266 P



GGA-PBE RbCuSe, optimized geometry; D(E_F) = 0.246 states/eV/cell; space group = P-6m2; ΔE_f (raw) = -1.97 eV/f.u.; calculated volume = 27.0 Å³ per atom; VASP energy = -3.51 eV/atom
1.0
4.222 0.000 0.000
-2.111 3.657 0.000
0.000 0.000 5.250
Rb Cu Se
1 1 1
direct
0.000 0.000 0.000 Rb
0.667 0.333 0.500 Cu
0.333 0.667 0.500 Se



Q: calculated volume of number 6 (MoAu2Br)?
A: 20.7 Å³ per atom